DFT (PBE) results for an optimized crystal structure of PmNd6Tm2Th.

Geometry as CIF:
```
data_PmNd6Tm2Th
_space_group_name_H-M_alt 'P 1'
_space_group_IT_number 1
_space_group_name_Hall 'P 1'
_cell_length_a 8.871
_cell_length_b 8.871
_cell_length_c 9.766
_cell_angle_alpha 94.19
_cell_angle_beta 94.19
_cell_angle_gamma 115.96
loop_
_atom_site_label
_atom_site_type_symbol
_atom_site_fract_x
_atom_site_fract_y
_atom_site_fract_z
_atom_site_occupancy
Pm1 Pm 0.094 0.906 0.750 1
Pm2 Pm 0.906 0.094 0.250 1
Nd1 Nd 0.012 0.799 0.381 1
Nd2 Nd 0.075 0.513 0.186 1
Nd3 Nd 0.201 0.988 0.119 1
Nd4 Nd 0.261 0.607 0.558 1
Nd5 Nd 0.393 0.739 0.942 1
Nd6 Nd 0.487 0.925 0.314 1
Nd7 Nd 0.513 0.075 0.686 1
Nd8 Nd 0.607 0.261 0.058 1
Nd9 Nd 0.739 0.393 0.442 1
Nd10 Nd 0.799 0.012 0.881 1
Nd11 Nd 0.925 0.487 0.814 1
Nd12 Nd 0.988 0.201 0.619 1
Tm1 Tm 0.212 0.302 0.948 1
Tm2 Tm 0.302 0.212 0.448 1
Tm3 Tm 0.698 0.788 0.552 1
Tm4 Tm 0.788 0.698 0.052 1
Th1 Th 0.468 0.532 0.250 1
Th2 Th 0.532 0.468 0.750 1
```

E_form = 139 meV per atom
Calculated density = 7.7 g/cm³
Electronic total energy = -96.65 eV/cell